Fe2BCN, relaxed, DFT PBE; spin magnetization = 2.05 μB/f.u.; calculated volume = 8.54 A^3/atom; N(E_F) = 3.97 states/eV/f.u.; raw formation energy = 7.1 eV/f.u.
1.0
3.829 0.000 0.000
0.000 3.829 0.000
0.000 0.000 2.913
Fe B C N
2 1 1 1
Direct
0.000 0.500 0.000
0.500 0.000 0.000
0.000 0.000 0.500
0.500 0.500 0.500
0.500 0.500 0.000